DFT (GGA-PBE) results for a relaxed structure of RbHfZr2Sc.

Summary:
Volume ... 26.01 Å³/atom
VASP energy ... -24.96 eV per cell

```
RbHfZr2Sc
1.0
5.046 0.000 0.000
0.000 5.046 0.000
0.000 0.000 5.107
Rb Hf Zr Sc
1 1 2 1
Direct
0.000 0.000 0.000
0.000 0.000 0.500
0.000 0.500 0.000
0.500 0.000 0.000
0.500 0.500 0.500
```